This record from the Alexandria database describes crystalline FeOF3 at its relaxed geometry. The functional is PBE+U.

Lattice parameters (Å, degrees): 5.279 5.410 6.079 91.91 90.61 93.84
Space group P1 (No. 1)
Symmetry-distinct sites (fractional):
Fe  0.000  0.000  0.000 [1 per cell]
Fe  0.316  0.327  0.513 [1 per cell]
O  0.758  0.775  0.373 [1 per cell]
O  0.768  0.796  0.575 [1 per cell]
F  0.070  0.680  0.989 [1 per cell]
F  0.163  0.163  0.256 [1 per cell]
F  0.167  0.170  0.762 [1 per cell]
F  0.252  0.647  0.510 [1 per cell]
F  0.649  0.279  0.511 [1 per cell]
F  0.672  0.067  0.994 [1 per cell]

Calculated values
VASP energy = -4.98 eV per atom
crystal system = triclinic
total moment = 12.00 Bohr magnetons per cell

***

This record from the Alexandria database describes crystalline Fe6O5F7 at its relaxed geometry. The functional is PBE+U.

Lattice parameters (Å, degrees): 5.609 5.623 7.293 72.38 72.65 73.48
Space group P1 (No. 1)
Symmetry-distinct sites (fractional):
Fe  0.000  0.000  0.000 [1 per cell]
Fe  0.000  0.007  0.505 [1 per cell]
Fe  0.314  0.319  0.165 [1 per cell]
Fe  0.382  0.320  0.689 [1 per cell]
Fe  0.677  0.690  0.834 [1 per cell]
Fe  0.696  0.633  0.343 [1 per cell]
O  0.221  0.211  0.962 [1 per cell]
O  0.579  0.569  0.640 [1 per cell]
O  0.664  0.030  0.663 [1 per cell]
O  0.785  0.773  0.044 [1 per cell]
O  0.961  0.338  0.353 [1 per cell]
F  0.048  0.641  0.664 [1 per cell]
F  0.112  0.094  0.703 [1 per cell]
F  0.309  0.707  0.001 [1 per cell]
F  0.364  0.942  0.354 [1 per cell]
F  0.430  0.429  0.378 [1 per cell]
F  0.708  0.306  0.002 [1 per cell]
F  0.915  0.894  0.301 [1 per cell]

Calculated values
energy relative to the lowest polymorph listed for this composition = 222.2 meV/atom
VASP energy = -5.70 eV per atom
crystal system = triclinic
total moment = 19.02 Bohr magnetons per cell

***

This record from the Alexandria database describes crystalline Fe2O3F at its relaxed geometry. The functional is PBE+U.

Lattice parameters (Å, degrees): 4.636 7.607 9.709 70.26 86.96 88.10
Space group P1 (No. 1)
Symmetry-distinct sites (fractional):
Fe  0.000  0.000  0.000 [1 per cell]
Fe  0.001  0.401  0.803 [1 per cell]
Fe  0.007  0.591  0.210 [1 per cell]
Fe  0.023  0.189  0.415 [1 per cell]
Fe  0.041  0.787  0.606 [1 per cell]
Fe  0.471  0.681  0.906 [1 per cell]
Fe  0.483  0.889  0.291 [1 per cell]
Fe  0.496  0.106  0.707 [1 per cell]
Fe  0.533  0.296  0.117 [1 per cell]
Fe  0.538  0.500  0.517 [1 per cell]
O  0.184  0.830  0.175 [1 per cell]
O  0.194  0.631  0.781 [1 per cell]
O  0.206  0.027  0.587 [1 per cell]
O  0.309  0.933  0.883 [1 per cell]
O  0.310  0.527  0.091 [1 per cell]
O  0.315  0.343  0.687 [1 per cell]
O  0.321  0.129  0.288 [1 per cell]
O  0.329  0.733  0.483 [1 per cell]
O  0.703  0.056  0.126 [1 per cell]
O  0.706  0.455  0.932 [1 per cell]
O  0.706  0.656  0.328 [1 per cell]
O  0.712  0.256  0.533 [1 per cell]
O  0.820  0.162  0.828 [1 per cell]
O  0.834  0.356  0.242 [1 per cell]
O  0.835  0.562  0.633 [1 per cell]
F  0.202  0.239  0.983 [1 per cell]
F  0.218  0.434  0.391 [1 per cell]
F  0.709  0.854  0.727 [1 per cell]
F  0.800  0.753  0.022 [1 per cell]
F  0.825  0.947  0.433 [1 per cell]

Calculated values
energy relative to the lowest polymorph listed for this composition = 117.3 meV/atom
DOS(E_F) = 0.28 states/eV per atom
VASP energy = -6.00 eV per atom
crystal system = triclinic
total moment = 36.99 Bohr magnetons per cell

***

This record from the Alexandria database describes crystalline FeOF at its relaxed geometry. The functional is PBE+U.

Lattice parameters (Å, degrees): 4.603 3.052 14.047 90.00 90.04 90.00
Space group Pm (No. 6)
Symmetry-distinct sites (fractional):
Fe  0.000  0.000  0.000 [1 per cell]
Fe  0.001  0.000  0.322 [1 per cell]
Fe  0.013  0.000  0.656 [1 per cell]
Fe  0.496  0.500  0.140 [1 per cell]
Fe  0.510  0.500  0.855 [1 per cell]
Fe  0.513  0.500  0.512 [1 per cell]
O  0.185  0.500  0.940 [1 per cell]
O  0.215  0.500  0.605 [1 per cell]
O  0.292  0.000  0.093 [1 per cell]
O  0.716  0.000  0.562 [1 per cell]
O  0.717  0.000  0.905 [1 per cell]
O  0.812  0.500  0.059 [1 per cell]
F  0.227  0.500  0.253 [1 per cell]
F  0.297  0.000  0.432 [1 per cell]
F  0.313  0.000  0.774 [1 per cell]
F  0.693  0.000  0.215 [1 per cell]
F  0.774  0.500  0.391 [1 per cell]
F  0.807  0.500  0.735 [1 per cell]

Calculated values
VASP energy = -5.81 eV per atom
crystal system = monoclinic
total moment = 10.03 Bohr magnetons per cell

***

This record from the Alexandria database describes crystalline FeOF at its relaxed geometry. The functional is PBE+U.

Lattice parameters (Å, degrees): 4.701 12.343 4.702 90.00 90.01 90.00
Space group Pm (No. 6)
Symmetry-distinct sites (fractional):
Fe  0.000  0.000  0.000 [1 per cell]
Fe  0.008  0.251  0.001 [2 per cell]
Fe  0.452  0.375  0.492 [2 per cell]
Fe  0.499  0.126  0.577 [2 per cell]
Fe  0.957  0.500  0.062 [1 per cell]
O  0.163  0.373  0.198 [2 per cell]
O  0.299  0.253  0.713 [2 per cell]
O  0.325  0.000  0.743 [1 per cell]
O  0.648  0.500  0.329 [1 per cell]
O  0.820  0.128  0.837 [2 per cell]
F  0.208  0.120  0.239 [2 per cell]
F  0.249  0.500  0.705 [1 per cell]
F  0.691  0.249  0.317 [2 per cell]
F  0.707  0.000  0.340 [1 per cell]
F  0.764  0.381  0.813 [2 per cell]

Calculated values
VASP energy = -5.95 eV per atom
crystal system = monoclinic
total moment = 35.97 Bohr magnetons per cell

***

This record from the Alexandria database describes crystalline Fe10O9F11 at its relaxed geometry. The functional is PBE+U.

Lattice parameters (Å, degrees): 6.544 6.758 15.475 90.00 90.16 90.00
Space group C2 (No. 5)
Symmetry-distinct sites (fractional):
Fe  0.000  0.000  0.000 [2 per cell]
Fe  0.000  0.444  0.500 [2 per cell]
Fe  0.001  0.992  0.388 [4 per cell]
Fe  0.005  0.459  0.697 [4 per cell]
Fe  0.014  0.964  0.799 [4 per cell]
Fe  0.025  0.468  0.094 [4 per cell]
O  0.000  0.290  0.000 [2 per cell]
O  0.002  0.279  0.598 [4 per cell]
O  0.182  0.978  0.900 [4 per cell]
O  0.198  0.972  0.296 [4 per cell]
O  0.204  0.972  0.701 [4 per cell]
F  0.000  0.682  0.000 [2 per cell]
F  0.002  0.671  0.594 [4 per cell]
F  0.004  0.661  0.199 [4 per cell]
F  0.006  0.274  0.198 [4 per cell]
F  0.191  0.975  0.500 [4 per cell]
F  0.210  0.976  0.101 [4 per cell]

Calculated values
energy relative to the lowest polymorph listed for this composition = 99.5 meV/atom
VASP energy = -5.83 eV per atom
crystal system = monoclinic
total moment = 62.00 Bohr magnetons per cell